The following is a meta-GGA SCAN calculation of a crystal of Sr2NiTe relaxed with PBEsol, from the Alexandria database.

Output
The calculated density is 5285 kg/m³. The formation energy (no corrections) is -0.674 eV per atom. The value obtained for the density of states at the Fermi level is 0.467 states/eV per atom. The calculated total energy is -25.17 eV/atom.

abc: 4.411 6.257 6.257
angles: 41.13 90.00 90.00
Fractional positions:
Sr  0.000  0.000  0.000
Sr  0.500  0.287  0.287
Ni  0.000  0.710  0.710
Te  0.500  0.582  0.582

=====

The following is a meta-GGA SCAN calculation of a crystal of Sr3NiTe relaxed with PBEsol, from the Alexandria database.

Output
For the energy above the lowest structure with this stoichiometry, the calculation gives 0 meV/atom. The calculated density is 4352 kg/m³. The formation energy (no corrections) is -0.423 eV per atom. The value obtained for the density of states at the Fermi level is 0.799 states/eV per atom. The calculated total energy is -24.47 eV/atom.

abc: 5.555 5.555 5.555
angles: 90.00 90.00 90.00
Fractional positions:
Sr  0.000  0.000  0.500
Sr  0.000  0.500  0.000
Sr  0.500  0.000  0.000
Ni  0.000  0.000  0.000
Te  0.500  0.500  0.500

=====

The following is a meta-GGA SCAN calculation of a crystal of Sr2NiTe relaxed with PBEsol, from the Alexandria database.

Output
The calculated density is 4788 kg/m³. The formation energy (no corrections) is -0.634 eV per atom. The value obtained for the density of states at the Fermi level is 0.504 states/eV per atom. The calculated total energy is -25.13 eV/atom.

abc: 7.789 7.789 7.789
angles: 33.09 33.09 33.09
Fractional positions:
Sr  0.244  0.244  0.244
Sr  0.756  0.756  0.756
Ni  0.500  0.500  0.500
Te  0.000  0.000  0.000

=====

The following is a meta-GGA SCAN calculation of a crystal of SrTiNi3 relaxed with PBEsol, from the Alexandria database.

Output
The calculated density is 5669 kg/m³. The value obtained for the density of states at the Fermi level is 0.638 states/eV per atom. The calculation puts the energy of formation at 9.91 kcal/mol of atoms. The calculated total energy is -16.94 eV/atom.

abc: 4.502 4.502 4.502
angles: 90.00 90.00 90.00
Fractional positions:
Sr  0.000  0.000  0.000
Ti  0.500  0.500  0.500
Ni  0.000  0.500  0.500
Ni  0.500  0.000  0.500
Ni  0.500  0.500  0.000

=====

The following is a meta-GGA SCAN calculation of a crystal of SrTl2Ni relaxed with PBEsol, from the Alexandria database.

Output
The calculated density is 10158 kg/m³. The value obtained for the density of states at the Fermi level is 0.453 states/eV per atom. The calculation puts the energy of formation at -1.05 kcal/mol of atoms. The calculated total energy is -45.84 eV/atom.

abc: 3.428 3.428 7.724
angles: 90.00 90.00 90.00
Fractional positions:
Sr  0.000  0.000  0.000
Tl  0.500  0.500  0.308
Tl  0.500  0.500  0.692
Ni  0.000  0.000  0.500

=====

The following is a meta-GGA SCAN calculation of a crystal of SrTlNi2 relaxed with PBEsol, from the Alexandria database.

Output
For the energy above the lowest structure with this stoichiometry, the calculation gives 358 meV/atom. The calculated density is 9264 kg/m³. The value obtained for the density of states at the Fermi level is 0.954 states/eV per atom. The calculation puts the energy of formation at 6.89 kcal/mol of atoms. The calculated total energy is -31.45 eV/atom.

abc: 4.699 4.699 4.699
angles: 60.00 60.00 60.00
Fractional positions:
Sr  0.000  0.000  0.000
Tl  0.500  0.500  0.500
Ni  0.250  0.250  0.250
Ni  0.750  0.750  0.750

=====

The following is a meta-GGA SCAN calculation of a crystal of SrTl2Ni relaxed with PBEsol, from the Alexandria database.

Output
The calculated density is 9532 kg/m³. The value obtained for the density of states at the Fermi level is 0.582 states/eV per atom. The calculation puts the energy of formation at 2.81 kcal/mol of atoms. The calculated total energy is -45.67 eV/atom.

abc: 4.442 4.442 4.900
angles: 90.00 90.00 90.00
Fractional positions:
Sr  0.000  0.000  0.000
Tl  0.000  0.500  0.500
Tl  0.500  0.000  0.500
Ni  0.500  0.500  0.000

=====

The following is a meta-GGA SCAN calculation of a crystal of Sr2TlNi relaxed with PBEsol, from the Alexandria database.

Output
The calculated density is 6590 kg/m³. The value obtained for the density of states at the Fermi level is 0.686 states/eV per atom. The calculation puts the energy of formation at -1.82 kcal/mol of atoms. The calculated total energy is -33.35 eV/atom.

abc: 6.333 6.333 6.333
angles: 145.11 129.77 62.62
Fractional positions:
Sr  0.000  0.000  0.000
Sr  0.696  0.196  0.500
Tl  0.293  0.793  0.500
Ni  0.455  0.455  0.000

=====

Which of these has the highest calculated density? number 5